Record 1
# InRuI2N PBE optimized geometry
# uncorrected formation energy	0.19	eV per atom
# density of states at the Fermi level	0.398	states/eV/atom
# theoretical density	6.5	Mg/m³
data_InRuI2N
_chemical_formula_sum 'In1 Ru1 I2 N1'
_space_group_name_H-M_alt 'P 4/m m m'
_space_group_IT_number 123
_space_group_name_Hall '-P 4 2'
_cell_length_a 5.721
_cell_length_b 5.721
_cell_length_c 3.749
_cell_angle_alpha 90.00
_cell_angle_beta 90.00
_cell_angle_gamma 90.00
loop_
_atom_site_label
_atom_site_fract_x
_atom_site_fract_y
_atom_site_fract_z
In1 0.000 0.000 0.000
Ru1 0.500 0.500 0.500
I1 0.000 0.500 0.500
N1 0.500 0.500 0.000

***

Record 2
# Li6NpCl8 PBE optimized geometry
# uncorrected formation energy	-1.61	eV per atom
# density of states at the Fermi level	1.132	states/eV/atom
# theoretical density	3.1	Mg/m³
data_Li6NpCl8
_chemical_formula_sum 'Li24 Np4 Cl32'
_space_group_name_H-M_alt 'F m -3 m'
_space_group_IT_number 225
_space_group_name_Hall '-F 4 2 3'
_cell_length_a 10.657
_cell_length_b 10.657
_cell_length_c 10.657
_cell_angle_alpha 90.00
_cell_angle_beta 90.00
_cell_angle_gamma 90.00
loop_
_atom_site_label
_atom_site_fract_x
_atom_site_fract_y
_atom_site_fract_z
Li1 0.000 0.250 0.250
Np1 0.000 0.000 0.000
Cl1 0.000 0.000 0.260
Cl2 0.250 0.250 0.250

***

Record 3
# BaAcPr PBE optimized geometry
# energy relative to the elements	0.2	eV/f.u.
# density of states at the Fermi level	1.689	states/eV/atom
# theoretical density	6.0	Mg/m³
data_BaAcPr
_chemical_formula_sum 'Ba2 Ac2 Pr2'
_space_group_name_H-M_alt 'P 4/n m m'
_space_group_IT_number 129
_cell_length_a 4.006
_cell_length_b 4.006
_cell_length_c 17.320
_cell_angle_alpha 90.00
_cell_angle_beta 90.00
_cell_angle_gamma 90.00
loop_
_space_group_symop_operation_xyz
'x,y,z'
'-x,-y,-z'
'-y+1/2,x,z'
'y+1/2,-x,-z'
'-x+1/2,-y+1/2,z'
'x+1/2,y+1/2,-z'
'y,-x+1/2,z'
'-y,x+1/2,-z'
'x+1/2,-y,-z'
'-x+1/2,y,z'
'-y,-x,-z'
'y,x,z'
'-x,y+1/2,-z'
'x,-y+1/2,z'
'y+1/2,x+1/2,-z'
'-y+1/2,-x+1/2,z'
loop_
_atom_site_label
_atom_site_fract_x
_atom_site_fract_y
_atom_site_fract_z
Ba1 0.250 0.250 0.102
Ac1 0.250 0.250 0.716
Pr1 0.250 0.250 0.430

***

Record 4
# KHfIn PBE optimized geometry
# energy relative to the elements	0.0	eV/f.u.
# density of states at the Fermi level	0.691	states/eV/atom
# theoretical density	5.7	Mg/m³
data_KHfIn
_chemical_formula_sum 'K2 Hf2 In2'
_space_group_name_H-M_alt 'P 1 21/m 1'
_space_group_IT_number 11
_space_group_name_Hall '-P 2yb'
_cell_length_a 3.349
_cell_length_b 4.185
_cell_length_c 13.805
_cell_angle_alpha 90.00
_cell_angle_beta 90.31
_cell_angle_gamma 90.00
loop_
_atom_site_label
_atom_site_fract_x
_atom_site_fract_y
_atom_site_fract_z
K1 0.242 0.250 0.149
Hf1 0.249 0.250 0.441
In1 0.254 0.250 0.670

***

| no. | spin magnetization (μB/atom) | VASP energy (Ry per atom) |
| --- | --- | --- |
| 1 | 0.000 | -0.33062 |
| 2 | 0.333 | -0.31039 |
| 3 | 0.000 | -0.26046 |
| 4 | 0.000 | -0.33712 |